(1)
This record from the Alexandria database describes an optimized crystal structure of VPd4Au. The functional is GGA-PBE.

Cell lengths 2.789, 3.940, 8.386 Å; angles 90.00, 90.00, 90.00 degrees
Sites, in units of the cell vectors:
V 0.500 0.000 0.500
Pd 0.000 0.500 0.343
Pd 0.500 0.000 0.180
Pd 0.000 0.500 0.657
Pd 0.500 0.000 0.820
Au 0.000 0.500 0.000

## Properties
* ΔH_f (0 K): -0.1776 eV/atom
* total DFT energy (no corrections): -5.705 eV/atom



(2)
This record from the Alexandria database describes an optimized crystal structure of TiHgCO5. The functional is GGA-PBE.

Cell lengths 5.302, 5.302, 7.200 Å; angles 106.66, 106.66, 101.72 degrees
Sites, in units of the cell vectors:
Ti 0.000 0.000 0.500
Ti 0.000 0.000 0.000
Hg 0.339 0.661 0.250
Hg 0.661 0.339 0.750
C 0.685 0.315 0.250
C 0.315 0.685 0.750
O 0.079 0.921 0.250
O 0.921 0.079 0.750
O 0.857 0.296 0.135
O 0.143 0.704 0.865
O 0.704 0.143 0.365
O 0.296 0.857 0.635
O 0.752 0.596 0.388
O 0.248 0.404 0.612
O 0.404 0.248 0.112
O 0.596 0.752 0.888

## Properties
* total DFT energy (no corrections): -6.776 eV/atom
* formation energy from raw total energies: -1.50 eV/atom



(3)
This record from the Alexandria database describes an optimized crystal structure of CdSnAs2. The functional is GGA-PBE.

Cell lengths 6.209, 6.209, 7.514 Å; angles 65.59, 65.59, 90.00 degrees
Sites, in units of the cell vectors:
As 0.628 0.125 0.250
As 0.122 0.625 0.250
As 0.375 0.372 0.750
As 0.875 0.878 0.750
Sn 0.000 0.000 0.000
Sn 0.750 0.250 0.500
Cd 0.500 0.500 0.000
Cd 0.250 0.750 0.500

## Properties
* ΔH_f (0 K): -0.1380 eV/atom
* total DFT energy (no corrections): -3.692 eV/atom



(4)
This record from the Alexandria database describes an optimized crystal structure of LaTcP2. The functional is GGA-PBE.

Cell lengths 4.444, 3.798, 5.626 Å; angles 70.28, 90.00, 90.00 degrees
Sites, in units of the cell vectors:
La 0.500 0.655 0.813
P 0.000 0.049 0.026
P 0.500 0.373 0.379
Tc 0.000 0.422 0.282

## Properties
* ΔH_f (0 K): -0.6915 eV/atom
* total DFT energy (no corrections): -7.220 eV/atom



(5)
This record from the Alexandria database describes an optimized crystal structure of NaLiSm2Au4. The functional is GGA-PBE.

Cell lengths 5.033, 5.033, 8.579 Å; angles 72.94, 72.94, 60.00 degrees
Sites, in units of the cell vectors:
Na 0.000 0.000 0.000
Li 0.500 0.500 0.500
Sm 0.750 0.750 0.749
Sm 0.250 0.250 0.251
Au 0.380 0.380 0.859
Au 0.874 0.874 0.378
Au 0.126 0.126 0.622
Au 0.620 0.620 0.141

## Properties
* ΔH_f (0 K): -0.6342 eV/atom
* total DFT energy (no corrections): -3.857 eV/atom



(6)
This record from the Alexandria database describes an optimized crystal structure of BaTl8. The functional is GGA-PBE.

Cell lengths 5.270, 7.845, 7.845 Å; angles 83.52, 70.37, 70.37 degrees
Sites, in units of the cell vectors:
Ba 0.000 0.000 0.000
Tl 0.322 0.000 0.356
Tl 0.678 0.000 0.644
Tl 0.654 0.346 0.346
Tl 0.322 0.356 0.000
Tl 0.000 0.346 0.654
Tl 0.678 0.644 0.000
Tl 0.346 0.654 0.654
Tl 0.000 0.654 0.346

## Properties
* ΔH_f (0 K): -0.1332 eV/atom
* total DFT energy (no corrections): -2.450 eV/atom



(7)
This record from the Alexandria database describes an optimized crystal structure of Rb2SrUSe6. The functional is GGA-PBE.

Cell lengths 8.020, 8.037, 11.346 Å; angles 90.00, 90.10, 90.00 degrees
Sites, in units of the cell vectors:
Rb 0.000 0.001 0.250
Rb 0.500 0.499 0.750
Rb 0.000 0.999 0.750
Rb 0.500 0.501 0.250
Sr 0.500 0.000 0.000
Sr 0.000 0.500 0.500
U 0.500 0.000 0.500
U 0.000 0.500 0.000
Se 0.237 0.732 0.001
Se 0.737 0.768 0.501
Se 0.763 0.268 0.999
Se 0.263 0.232 0.499
Se 0.268 0.764 0.500
Se 0.768 0.736 0.000
Se 0.732 0.236 0.500
Se 0.232 0.264 0.000
Se 0.999 0.500 0.235
Se 0.499 0.000 0.735
Se 0.001 0.500 0.765
Se 0.501 0.000 0.265

## Properties
* total DFT energy (no corrections): -4.671 eV/atom
* formation energy from raw total energies: -1.09 eV/atom



(8)
This record from the Alexandria database describes an optimized crystal structure of Hf8P3C4. The functional is GGA-PBE.

Cell lengths 6.874, 6.945, 6.945 Å; angles 90.00, 119.61, 119.61 degrees
Sites, in units of the cell vectors:
Hf 0.465 0.220 0.220
Hf 0.000 0.764 0.236
Hf 0.980 0.231 0.231
Hf 0.500 0.765 0.235
Hf 0.500 0.235 0.765
Hf 0.020 0.769 0.769
Hf 0.000 0.236 0.764
Hf 0.535 0.780 0.780
P 0.500 0.500 0.000
P 0.500 0.000 0.500
P 0.500 0.500 0.500
C 0.500 0.000 0.000
C 0.000 0.500 0.000
C 0.000 0.000 0.000
C 0.000 0.000 0.500

## Properties
* ΔH_f (0 K): -0.8577 eV/atom
* total DFT energy (no corrections): -9.708 eV/atom



(9)
This record from the Alexandria database describes an optimized crystal structure of CdHg2P. The functional is GGA-PBE.

Cell lengths 3.127, 3.127, 9.454 Å; angles 90.00, 90.00, 90.00 degrees
Sites, in units of the cell vectors:
Cd 0.500 0.500 0.722
Hg 0.000 0.000 0.978
Hg 0.500 0.500 0.262
P 0.000 0.000 0.537

## Properties
* ΔH_f (0 K): 0.3159 eV/atom
* total DFT energy (no corrections): -1.416 eV/atom



(10)
This record from the Alexandria database describes an optimized crystal structure of TmTiCd2. The functional is GGA-PBE.

Cell lengths 3.244, 3.244, 10.166 Å; angles 80.82, 80.82, 60.00 degrees
Each line ends with the local moment (μB).
Sites, in units of the cell vectors:
Tm 0.500 0.500 0.500  -0.07
Ti 0.000 0.000 0.000  0.43
Cd 0.744 0.744 0.767  0.00
Cd 0.256 0.256 0.233  0.00

## Properties
* ΔH_f (0 K): 0.0893 eV/atom
* total DFT energy (no corrections): -3.460 eV/atom



(11)
This record from the Alexandria database describes an optimized crystal structure of RbIn2GaRu. The functional is GGA-PBE.

Cell lengths 5.254, 5.254, 4.957 Å; angles 90.00, 90.00, 90.00 degrees
Sites, in units of the cell vectors:
Ru 0.000 0.000 0.000
Ga 0.000 0.000 0.500
Rb 0.500 0.500 0.500
In 0.000 0.500 0.000
In 0.500 0.000 0.000

## Properties
* ΔH_f (0 K): -0.1546 eV/atom
* total DFT energy (no corrections): -3.904 eV/atom



(12)
This record from the Alexandria database describes an optimized crystal structure of CaErAl. The functional is GGA-PBE.

Cell lengths 4.749, 4.749, 7.779 Å; angles 90.00, 90.00, 90.00 degrees
Sites, in units of the cell vectors:
Er 0.000 0.500 0.764
Er 0.500 0.000 0.236
Al 0.500 0.500 0.000
Al 0.000 0.000 0.000
Ca 0.500 0.000 0.700
Ca 0.000 0.500 0.300

## Properties
* ΔH_f (0 K): -0.0097 eV/atom
* total DFT energy (no corrections): -3.445 eV/atom



(13)
This record from the Alexandria database describes an optimized crystal structure of Sm3GaH. The functional is GGA-PBE.

Cell lengths 4.849, 4.849, 4.849 Å; angles 90.00, 90.00, 90.00 degrees
Sites, in units of the cell vectors:
H 0.000 0.000 0.000
Ga 0.500 0.500 0.500
Sm 0.000 0.500 0.000
Sm 0.000 0.000 0.500
Sm 0.500 0.000 0.000

## Properties
* total DFT energy (no corrections): -4.425 eV/atom



(14)
This record from the Alexandria database describes an optimized crystal structure of TiNbBS2. The functional is GGA-PBE.

Cell lengths 4.749, 4.206, 4.749 Å; angles 90.00, 90.00, 90.00 degrees
Sites, in units of the cell vectors:
Nb 0.000 0.000 0.000
B 0.000 0.500 0.000
S 0.000 0.000 0.500
S 0.500 0.000 0.000
Ti 0.500 0.500 0.500

## Properties
* total DFT energy (no corrections): -6.098 eV/atom
* formation energy from raw total energies: 0.48 eV/atom



(15)
This record from the Alexandria database describes an optimized crystal structure of SrAlFeI2. The functional is GGA-PBE.

Cell lengths 6.335, 5.955, 6.335 Å; angles 90.00, 90.00, 90.00 degrees
Each line ends with the local moment (μB).
Sites, in units of the cell vectors:
I 0.000 0.000 0.500  0.01
I 0.500 0.000 0.000  0.00
Sr 0.000 0.000 0.000  -0.04
Fe 0.000 0.500 0.000  3.05
Al 0.500 0.500 0.500  -0.02

## Properties
* total DFT energy (no corrections): -2.944 eV/atom
* formation energy from raw total energies: 0.45 eV/atom



(16)
This record from the Alexandria database describes an optimized crystal structure of KY2Sc. The functional is GGA-PBE.

Cell lengths 6.005, 6.005, 3.684 Å; angles 90.00, 90.00, 90.00 degrees
Sites, in units of the cell vectors:
K 0.500 0.000 0.500
Sc 0.000 0.500 0.500
Y 0.000 0.000 0.000
Y 0.500 0.500 0.000

## Properties
* ΔH_f (0 K): 0.5429 eV/atom
* total DFT energy (no corrections): -4.546 eV/atom



(17)
This record from the Alexandria database describes an optimized crystal structure of Er3AgIr. The functional is GGA-PBE.

Cell lengths 3.909, 8.604, 8.608 Å; angles 69.63, 90.00, 90.00 degrees
Sites, in units of the cell vectors:
Er 0.864 0.382 0.810
Er 0.864 0.007 0.682
Er 0.863 0.630 0.059
Er 0.363 0.026 0.078
Er 0.863 0.758 0.433
Er 0.363 0.362 0.415
Ag 0.363 0.694 0.746
Ag 0.863 0.194 0.247
Ir 0.363 0.694 0.246
Ir 0.364 0.194 0.746

## Properties
* ΔH_f (0 K): -0.4468 eV/atom
* total DFT energy (no corrections): -5.527 eV/atom



(18)
This record from the Alexandria database describes an optimized crystal structure of Cs2Ge2O3. The functional is GGA-PBE.

Cell lengths 3.313, 6.971, 7.238 Å; angles 100.95, 103.23, 90.00 degrees
Sites, in units of the cell vectors:
Cs 0.643 0.746 0.286
Cs 0.357 0.254 0.714
Ge 0.908 0.768 0.817
Ge 0.092 0.232 0.183
O 0.000 0.000 0.000
O 0.665 0.183 0.329
O 0.335 0.817 0.671

## Properties
* total DFT energy (no corrections): -4.957 eV/atom
* formation energy from raw total energies: -1.27 eV/atom



(19)
This record from the Alexandria database describes an optimized crystal structure of LaCe2Sm3S6. The functional is GGA-PBE.

Cell lengths 6.991, 6.991, 7.015 Å; angles 99.59, 99.59, 120.05 degrees
Each line ends with the local moment (μB).
Sites, in units of the cell vectors:
La 0.000 0.000 0.000  0.02
Ce 0.333 0.667 0.000  0.68
Ce 0.667 0.333 0.000  0.68
Sm 0.164 0.836 0.500  0.00
Sm 0.836 0.164 0.500  0.00
Sm 0.500 0.500 0.500  0.00
S 0.915 0.577 0.744  -0.01
S 0.746 0.746 0.253  -0.01
S 0.085 0.423 0.256  -0.01
S 0.577 0.915 0.744  -0.01
S 0.254 0.254 0.747  -0.01
S 0.423 0.085 0.256  -0.01

## Properties
* total DFT energy (no corrections): -6.702 eV/atom
* formation energy from raw total energies: -2.06 eV/atom



(20)
This record from the Alexandria database describes an optimized crystal structure of Nd2Hg2Pt15. The functional is GGA-PBE.

Cell lengths 7.060, 7.060, 7.060 Å; angles 83.96, 83.96, 83.96 degrees
Sites, in units of the cell vectors:
Nd 0.351 0.351 0.351
Nd 0.649 0.649 0.649
Hg 0.104 0.104 0.104
Hg 0.896 0.896 0.896
Pt 0.500 0.000 0.000
Pt 0.000 0.000 0.500
Pt 0.000 0.500 0.000
Pt 0.000 0.681 0.319
Pt 0.681 0.319 0.000
Pt 0.319 0.000 0.681
Pt 0.319 0.681 0.000
Pt 0.681 0.000 0.319
Pt 0.000 0.319 0.681
Pt 0.167 0.656 0.656
Pt 0.656 0.656 0.167
Pt 0.656 0.167 0.656
Pt 0.833 0.344 0.344
Pt 0.344 0.344 0.833
Pt 0.344 0.833 0.344

## Properties
* ΔH_f (0 K): -0.4167 eV/atom
* total DFT energy (no corrections): -5.719 eV/atom



(21)
This record from the Alexandria database describes an optimized crystal structure of TaTc2Br. The functional is GGA-PBE.

Cell lengths 4.533, 4.533, 4.533 Å; angles 60.00, 60.00, 60.00 degrees
Sites, in units of the cell vectors:
Tc 0.250 0.250 0.250
Tc 0.750 0.750 0.750
Br 0.000 0.000 0.000
Ta 0.500 0.500 0.500

## Properties
* total DFT energy (no corrections): -7.783 eV/atom
* formation energy from raw total energies: 0.78 eV/atom



(22)
This record from the Alexandria database describes an optimized crystal structure of CsB3Te. The functional is GGA-PBE.

Cell lengths 4.852, 4.852, 4.852 Å; angles 90.00, 90.00, 90.00 degrees
Sites, in units of the cell vectors:
Cs 0.500 0.500 0.500
B 0.000 0.500 0.000
B 0.000 0.000 0.500
B 0.500 0.000 0.000
Te 0.000 0.000 0.000

## Properties
* total DFT energy (no corrections): -2.744 eV/atom
* formation energy from raw total energies: 2.06 eV/atom



(23)
This record from the Alexandria database describes an optimized crystal structure of TiTlIrO6. The functional is GGA-PBE.

Cell lengths 5.197, 5.197, 4.873 Å; angles 90.00, 90.00, 60.00 degrees
Each line ends with the local moment (μB).
Sites, in units of the cell vectors:
Ti 0.667 0.667 0.500  0.01
Tl 0.000 0.000 0.000  -0.01
Ir 0.333 0.333 0.500  1.07
O 0.000 0.367 0.278  0.13
O 0.367 0.000 0.722  0.13
O 0.633 0.367 0.722  0.13
O 0.000 0.633 0.722  0.13
O 0.367 0.633 0.278  0.13
O 0.633 0.000 0.278  0.13

## Properties
* total DFT energy (no corrections): -6.835 eV/atom
* formation energy from raw total energies: -1.40 eV/atom



(24)
This record from the Alexandria database describes an optimized crystal structure of LiAgBr2. The functional is GGA-PBE.

Cell lengths 5.134, 5.134, 5.134 Å; angles 60.00, 60.00, 60.00 degrees
Sites, in units of the cell vectors:
Ag 0.500 0.500 0.500
Br 0.000 0.000 0.000
Br 0.250 0.250 0.250
Li 0.750 0.750 0.750

## Properties
* total DFT energy (no corrections): -2.298 eV/atom
* formation energy from raw total energies: -0.27 eV/atom



(25)
This record from the Alexandria database describes an optimized crystal structure of CeInPd2. The functional is GGA-PBE.

Cell lengths 3.385, 3.385, 7.071 Å; angles 90.00, 90.00, 90.00 degrees
Each line ends with the local moment (μB).
Sites, in units of the cell vectors:
Pd 0.000 0.000 0.778  -0.02
Pd 0.000 0.000 0.222  -0.02
Ce 0.500 0.500 0.500  0.50
In 0.500 0.500 0.000  0.01

## Properties
* ΔH_f (0 K): -0.5785 eV/atom
* total DFT energy (no corrections): -5.343 eV/atom